This record from the Alexandria database describes a geometry-optimized Pu2Be3GaGe4 structure. The functional is PBE-GGA.

## Properties
The spin magnetization is 1.138 μB/atom. Its density of states at the Fermi level is 17.16 states/eV/f.u. The formation energy is -0.211 eV per atom.

Cell: 4.155 4.155 9.625 Å, 90.00 90.00 90.00°
Atoms (fractional coordinates):
Pu 0.000 0.500 0.238
Pu 0.500 0.000 0.762
Be 0.000 0.500 0.881
Be 0.500 0.000 0.119
Be 0.500 0.500 0.500
Ga 0.000 0.000 0.500
Ge 0.000 0.000 0.000
Ge 0.000 0.500 0.647
Ge 0.500 0.000 0.353
Ge 0.500 0.500 0.000